(1)
## KRbNi2 (PBE)

Data for an optimized crystal structure of KRbNi2.

Lattice parameters (Å, degrees): 5.4728 5.4728 5.4728 60.00 60.00 60.00
Closest atoms and distances in Å follow each position.
Atoms (fractional coordinates):
K (0.0000, 0.0000, 0.0000)  8 Ni 3.35
Rb (0.5000, 0.5000, 0.5000)  8 Ni 3.35
Ni (0.2500, 0.2500, 0.2500)  4 K 3.35, 4 Rb 3.35
Ni (0.7500, 0.7500, 0.7500)  4 K 3.35, 4 Rb 3.35

Computed properties:
space-group type = No. 225
energy of formation = 1.170 eV/atom
calculated total energy = -2.24 eV/atom
total moment = 0.0 μB/f.u.

(2)
## KRb2Ni (PBE)

Data for an optimized crystal structure of KRb2Ni.

Lattice parameters (Å, degrees): 6.3242 6.3242 6.3242 60.00 60.00 60.00
Closest atoms and distances in Å follow each position.
Atoms (fractional coordinates):
K (0.0000, 0.0000, 0.0000)  8 Rb 3.87
Rb (0.2500, 0.2500, 0.2500)  4 Ni 3.87, 4 K 3.87
Rb (0.7500, 0.7500, 0.7500)  4 K 3.87, 4 Ni 3.87
Ni (0.5000, 0.5000, 0.5000)  8 Rb 3.87

Computed properties:
space-group type = No. 225
energy of formation = 0.642 eV/atom
calculated total energy = -1.56 eV/atom
total moment = 0.0 μB/f.u.

(3)
## KRb2Ni (PBE)

Data for an optimized crystal structure of KRb2Ni.

Lattice parameters (Å, degrees): 10.5810 10.5810 10.5810 128.66 128.66 75.56
Closest atoms and distances in Å follow each position.
Atoms (fractional coordinates):
K (0.0000, 0.0000, 0.0000)  4 Rb 4.85
K (0.7500, 0.2500, 0.5000)  4 Rb 4.85
Rb (0.2814, 0.6250, 0.1564)  2 Ni 3.22
Rb (0.3750, 0.5314, 0.6564)  2 Ni 3.22
Rb (0.4686, 0.1250, 0.8436)  2 Ni 3.22
Rb (0.8750, 0.7186, 0.3436)  2 Ni 3.22
Ni (0.2500, 0.7500, 0.5000)  4 Rb 3.22
Ni (0.5000, 0.5000, 0.0000)  4 Rb 3.22

Computed properties:
space-group type = No. 122
energy of formation = 0.722 eV/atom
calculated total energy = -1.48 eV/atom
total moment = 0.5 μB/f.u.

(4)
## K2RbNi (PBE)

Data for an optimized crystal structure of K2RbNi.

Lattice parameters (Å, degrees): 6.1767 6.1767 6.1767 60.00 60.00 60.00
Closest atoms and distances in Å follow each position.
Atoms (fractional coordinates):
K (0.2500, 0.2500, 0.2500)  4 Ni 3.78, 4 Rb 3.78
K (0.7500, 0.7500, 0.7500)  4 Ni 3.78, 4 Rb 3.78
Rb (0.0000, 0.0000, 0.0000)  8 K 3.78
Ni (0.5000, 0.5000, 0.5000)  8 K 3.78

Computed properties:
space-group type = No. 225
energy of formation = 0.620 eV/atom
calculated total energy = -1.62 eV/atom
total moment = 0.0 μB/f.u.

(5)
## KRb2Ni2 (PBE)

Data for an optimized crystal structure of KRb2Ni2.

Lattice parameters (Å, degrees): 7.6485 7.6485 7.6485 137.38 137.38 61.85
Closest atoms and distances in Å follow each position.
Atoms (fractional coordinates):
K (0.0000, 0.0000, 0.0000)  8 Ni 4.09, 8 Rb 4.30
Rb (0.2500, 0.7500, 0.5000)  4 Ni 3.52, 4 Rb 3.93
Rb (0.7500, 0.2500, 0.5000)  4 Ni 3.52, 4 Rb 3.93
Ni (0.4149, 0.4149, 0.0000)  1 Ni 2.23
Ni (0.5851, 0.5851, 0.0000)  1 Ni 2.23

Computed properties:
space-group type = No. 139
energy of formation = 0.799 eV/atom
calculated total energy = -2.12 eV/atom
total moment = 1.1 μB/f.u.

(6)
## KRbNi2 (PBE)

Data for an optimized crystal structure of KRbNi2.

Lattice parameters (Å, degrees): 6.9151 6.9151 6.9151 99.75 99.75 131.41
Closest atoms and distances in Å follow each position.
Atoms (fractional coordinates):
K (0.0000, 0.0000, 0.0000)  2 Rb 2.85
K (0.7500, 0.2500, 0.5000)  2 Rb 2.85
Rb (0.2500, 0.7500, 0.5000)  2 K 2.85
Rb (0.5000, 0.5000, 0.0000)  2 K 2.85
Ni (0.1215, 0.1250, 0.4965)  2 Ni 2.85
Ni (0.3750, 0.8785, 0.0035)  2 Ni 2.85
Ni (0.6285, 0.6250, 0.5035)  2 Ni 2.85
Ni (0.8750, 0.3715, 0.9965)  2 Ni 2.85

Computed properties:
space-group type = No. 122
energy of formation = 1.080 eV/atom
calculated total energy = -2.33 eV/atom
total moment = 1.1 μB/f.u.

(7)
## KRb2Ni2 (PBE)

Data for an optimized crystal structure of KRb2Ni2.

Lattice parameters (Å, degrees): 8.5779 8.5779 5.2656 90.00 90.00 90.00
Closest atoms and distances in Å follow each position.
Atoms (fractional coordinates):
K (0.0000, 0.0000, 0.0000)  4 Ni 3.58
K (0.5000, 0.5000, 0.0000)  4 Ni 3.58
Rb (0.1652, 0.3348, 0.5000)  4 Ni 3.49
Rb (0.3348, 0.8348, 0.5000)  4 Ni 3.49
Rb (0.6652, 0.1652, 0.5000)  4 Ni 3.49
Rb (0.8348, 0.6652, 0.5000)  4 Ni 3.49
Ni (0.0927, 0.5927, 0.0000)  1 Ni 2.25
Ni (0.4073, 0.0927, 0.0000)  1 Ni 2.25
Ni (0.5927, 0.9073, 0.0000)  1 Ni 2.25
Ni (0.9073, 0.4073, 0.0000)  1 Ni 2.25

Computed properties:
space-group type = No. 127
energy of formation = 0.689 eV/atom
calculated total energy = -2.23 eV/atom
total moment = 1.1 μB/f.u.

(8)
## KRbRe2Ni (PBE)

Data for an optimized crystal structure of KRbRe2Ni.

Lattice parameters (Å, degrees): 4.5813 4.5813 6.0229 90.00 90.00 90.00
Closest atoms and distances in Å follow each position.
Atoms (fractional coordinates):
K (0.0000, 0.0000, 0.0000)  2 Ni 3.01, 4 Rb 3.24
Rb (0.5000, 0.5000, 0.0000)  4 K 3.24
Re (0.0000, 0.5000, 0.5000)  2 Ni 2.29
Re (0.5000, 0.0000, 0.5000)  2 Ni 2.29
Ni (0.0000, 0.0000, 0.5000)  4 Re 2.29

Computed properties:
space-group type = No. 123
energy of formation = 1.652 eV/atom
calculated total energy = -4.90 eV/atom
total moment = 1.3 μB/f.u.

(9)
## KRbNiSe2 (PBE)

Data for an optimized crystal structure of KRbNiSe2.

Lattice parameters (Å, degrees): 5.6885 7.7960 6.7260 90.00 90.00 90.00
Closest atoms and distances in Å follow each position.
Atoms (fractional coordinates):
K (0.2500, 0.0000, 0.1053)  2 Ni 3.01, 2 K 3.18
K (0.7500, 0.0000, 0.8947)  2 Ni 3.01, 2 K 3.18
Rb (0.2500, 0.5000, 0.2860)  6 Se 3.40-3.67
Rb (0.7500, 0.5000, 0.7140)  6 Se 3.40-3.67
Ni (0.0000, 0.0000, 0.5000)  4 Se 2.39
Ni (0.5000, 0.0000, 0.5000)  4 Se 2.39
Se (0.2500, 0.2052, 0.6595)  2 Ni 2.39
Se (0.2500, 0.7948, 0.6595)  2 Ni 2.39
Se (0.7500, 0.2052, 0.3405)  2 Ni 2.39
Se (0.7500, 0.7948, 0.3405)  2 Ni 2.39

Computed properties:
space-group type = No. 51
uncorrected formation energy = -339 kJ/mol of formula units
calculated total energy = -3.67 eV/atom
total moment = 0.0 μB/f.u.

(10)
## KRbNiSn2 (PBE)

Data for an optimized crystal structure of KRbNiSn2.

Lattice parameters (Å, degrees): 6.3644 6.3644 5.0242 90.00 90.00 90.00
Closest atoms and distances in Å follow each position.
Atoms (fractional coordinates):
K (0.0000, 0.0000, 0.0000)  8 Sn 4.05, 4 Ni 4.50
Rb (0.5000, 0.5000, 0.5000)  2 Ni 2.51
Ni (0.5000, 0.5000, 0.0000)  2 Rb 2.51
Sn (0.0000, 0.5000, 0.5000)  2 Rb 3.18
Sn (0.5000, 0.0000, 0.5000)  2 Rb 3.18

Computed properties:
space-group type = No. 123
energy of formation = 1.163 eV/atom
calculated total energy = -2.01 eV/atom
total moment = 0.0 μB/f.u.

(11)
## KRbTl2Ni (PBE)

Data for an optimized crystal structure of KRbTl2Ni.

Lattice parameters (Å, degrees): 5.2336 5.2336 6.2224 90.00 90.00 90.00
Closest atoms and distances in Å follow each position.
Atoms (fractional coordinates):
K (0.0000, 0.0000, 0.0000)  4 Rb 3.70, 8 Tl 4.07
Rb (0.5000, 0.5000, 0.0000)  2 Ni 3.11
Tl (0.0000, 0.5000, 0.5000)  2 Ni 2.62
Tl (0.5000, 0.0000, 0.5000)  2 Ni 2.62
Ni (0.5000, 0.5000, 0.5000)  4 Tl 2.62

Computed properties:
space-group type = No. 123
energy of formation = 0.125 eV/atom
calculated total energy = -2.39 eV/atom
total moment = 0.0 μB/f.u.

(12)
## K2RbTlNi (PBE)

Data for an optimized crystal structure of K2RbTlNi.

Lattice parameters (Å, degrees): 6.3804 6.3804 5.1716 90.00 90.00 90.00
Closest atoms and distances in Å follow each position.
Atoms (fractional coordinates):
K (0.0000, 0.5000, 0.0000)  2 Ni 3.19
K (0.5000, 0.0000, 0.0000)  2 Ni 3.19
Rb (0.0000, 0.0000, 0.5000)  8 K 4.11, 4 Tl 4.51
Tl (0.5000, 0.5000, 0.5000)  2 Ni 2.59
Ni (0.5000, 0.5000, 0.0000)  2 Tl 2.59

Computed properties:
space-group type = No. 123
energy of formation = 0.205 eV/atom
calculated total energy = -2.06 eV/atom
total moment = 0.0 μB/f.u.